4
Lattice="3.730 0.000 0.000 0.000 3.730 0.000 0.000 0.000 6.936" Properties=species:S:1:pos:R:3 comment="PBE-GGA BaCaNi2, relaxed" final_energy_ry_per_atom=-0.2744 density_g_cm3=5.07 pbc="T T T"
Ba 0.000 0.000 0.000
Ca 0.000 0.000 3.468
Ni 1.865 1.865 2.213
Ni 1.865 1.865 4.724

=====

4
Lattice="4.195 0.000 0.000 0.000 2.179 5.777 0.000 -2.179 5.777" Properties=species:S:1:pos:R:3 comment="PBE-GGA BaCaNi2, relaxed" final_energy_ry_per_atom=-0.2860 density_g_cm3=4.63 pbc="T T T"
Ba 0.000 0.000 0.000
Ca 2.098 0.000 3.170
Ni 0.000 0.000 8.115
Ni 2.098 0.000 7.136

=====

3
Lattice="0.000 3.686 3.686 3.686 0.000 3.686 3.686 3.686 0.000" Properties=species:S:1:pos:R:3 comment="PBE-GGA BaCaNi, relaxed" final_energy_ry_per_atom=-0.2297 density_g_cm3=3.92 pbc="T T T"
Ba 0.000 0.000 0.000
Ca 3.686 3.686 3.686
Ni 5.528 5.528 5.528

=====

3
Lattice="0.000 2.618 7.034 2.613 0.000 7.034 2.613 2.618 0.000" Properties=species:S:1:pos:R:3 comment="PBE-GGA BaCaNi, relaxed" final_energy_ry_per_atom=-0.2317 density_g_cm3=4.07 pbc="T T T"
Ba 0.000 0.000 0.000
Ca 2.613 2.618 3.482
Ni 2.613 2.618 8.979

=====

7
Lattice="-3.035 3.035 10.209 3.035 -3.035 10.209 3.035 3.035 -10.209" Properties=species:S:1:pos:R:3 comment="PBE-GGA Ba4Ca2Ni, relaxed" final_energy_ry_per_atom=-0.1724 density_g_cm3=3.04 pbc="T T T"
Ba 3.035 0.000 0.000
Ba 0.000 0.000 3.168
Ba 0.000 3.035 0.000
Ba 0.000 0.000 17.250
Ca 0.000 0.000 7.277
Ca 0.000 0.000 13.141
Ni 0.000 0.000 0.000

=====

4
Lattice="0.000 3.631 3.631 3.631 0.000 3.631 3.631 3.631 0.000" Properties=species:S:1:pos:R:3 comment="PBE-GGA BaCaNi2, relaxed" final_energy_ry_per_atom=-0.2689 density_g_cm3=5.11 pbc="T T T"
Ba 0.000 0.000 0.000
Ca 3.631 3.631 3.631
Ni 1.815 1.815 1.815
Ni 5.446 5.446 5.446

=====

6
Lattice="0.000 3.712 3.712 3.712 0.000 3.712 3.712 3.712 0.000" Properties=species:S:1:pos:R:3 comment="PBE-GGA BaCaNi4, relaxed" final_energy_ry_per_atom=-0.3293 density_g_cm3=6.69 pbc="T T T"
Ba 0.000 0.000 0.000
Ca 5.568 5.568 5.568
Ni 2.795 2.795 2.795
Ni 4.628 4.628 2.795
Ni 4.628 2.795 4.628
Ni 2.795 4.628 4.628

=====

What DFT formation energy values result from the calculations? In sequence: 53; -8; 32; 24; 102; 82; 16 kJ/mol of formula units.